[1]
VASP calculation (PBE) on Th8Co3TcTe4 after structural relaxation.

The value obtained for the formation energy from raw total energies is -728 meV per atom. The total magnetization is 0.0 μB per cell. The symmetry is R-3m (166).

Lattice parameters (Å, degrees): 9.026 9.026 9.026 54.10 54.10 54.10
Fractional positions:
Th 0.229 0.734 0.734
Th 0.231 0.231 0.231
Th 0.266 0.266 0.771
Th 0.266 0.771 0.266
Th 0.734 0.229 0.734
Th 0.734 0.734 0.229
Th 0.769 0.769 0.769
Th 0.771 0.266 0.266
Co 0.000 0.000 0.500
Co 0.000 0.500 0.000
Co 0.500 0.000 0.000
Tc 0.500 0.500 0.500
Te 0.000 0.000 0.000
Te 0.000 0.500 0.500
Te 0.500 0.000 0.500
Te 0.500 0.500 0.000



[2]
VASP calculation (PBE) on TiOs after structural relaxation.

The total magnetization is 0.0 μB per cell. As for the energy of formation from the pure elements: 1.231 eV per atom. The symmetry is F-43m (216).

Lattice parameters (Å, degrees): 5.626 5.626 5.626 90.00 90.00 90.00
Fractional positions:
Ti 0.000 0.000 0.000
Ti 0.000 0.500 0.500
Ti 0.500 0.000 0.500
Ti 0.500 0.500 0.000
Os 0.250 0.250 0.750
Os 0.250 0.750 0.250
Os 0.750 0.250 0.250
Os 0.750 0.750 0.750



[3]
VASP calculation (PBE) on Cr2SnBPd after structural relaxation.

The total magnetization is 0.1 μB per cell. As for the energy of formation from the pure elements: 1.416 eV per atom. The symmetry is P4/mmm (123).

Lattice parameters (Å, degrees): 4.706 4.706 3.914 90.00 90.00 90.00
Fractional positions:
Cr 0.000 0.500 0.000
Cr 0.500 0.000 0.000
Sn 0.000 0.000 0.500
B 0.500 0.500 0.500
Pd 0.500 0.500 0.000



[4]
VASP calculation (PBE) on AcPaSiPt after structural relaxation.

The value obtained for the formation energy from raw total energies is -359 meV per atom. The total magnetization is 6.9 μB per cell. The symmetry is F-43m (216).

Lattice parameters (Å, degrees): 7.326 7.326 7.326 90.00 90.00 90.00
Fractional positions:
Ac 0.000 0.000 0.000
Ac 0.000 0.500 0.500
Ac 0.500 0.000 0.500
Ac 0.500 0.500 0.000
Pa 0.000 0.000 0.500
Pa 0.000 0.500 0.000
Pa 0.500 0.000 0.000
Pa 0.500 0.500 0.500
Si 0.250 0.250 0.750
Si 0.250 0.750 0.250
Si 0.750 0.250 0.250
Si 0.750 0.750 0.750
Pt 0.250 0.250 0.250
Pt 0.250 0.750 0.750
Pt 0.750 0.250 0.750
Pt 0.750 0.750 0.250



[5]
VASP calculation (PBE) on LiIr2O4 after structural relaxation.

The value obtained for the formation energy from raw total energies is -825 meV per atom. The total magnetization is 0.0 μB per cell. The symmetry is C2/m (12).

Lattice parameters (Å, degrees): 10.345 2.780 5.808 90.00 90.65 90.00
Fractional positions:
Li 0.000 0.000 0.000
Li 0.500 0.500 0.000
Ir 0.249 0.000 0.254
Ir 0.251 0.500 0.746
Ir 0.749 0.500 0.254
Ir 0.751 0.000 0.746
O 0.144 0.500 0.050
O 0.150 0.000 0.561
O 0.350 0.500 0.439
O 0.356 0.000 0.950
O 0.644 0.000 0.050
O 0.650 0.500 0.561
O 0.850 0.000 0.439
O 0.856 0.500 0.950



[6]
VASP calculation (PBE) on DyFe5Si3 after structural relaxation.

The value obtained for the formation energy from raw total energies is -421 meV per atom. The total magnetization is 8.8 μB per cell. The symmetry is Cmcm (63).

Lattice parameters (Å, degrees): 6.380 6.380 10.480 90.00 90.00 144.63
Fractional positions:
Dy 0.197 0.803 0.750
Dy 0.803 0.197 0.250
Fe 0.000 0.000 0.000
Fe 0.000 0.000 0.500
Fe 0.187 0.813 0.057
Fe 0.187 0.813 0.443
Fe 0.462 0.538 0.641
Fe 0.462 0.538 0.859
Fe 0.538 0.462 0.141
Fe 0.538 0.462 0.359
Fe 0.813 0.187 0.557
Fe 0.813 0.187 0.943
Si 0.096 0.904 0.250
Si 0.368 0.632 0.048
Si 0.368 0.632 0.452
Si 0.632 0.368 0.548
Si 0.632 0.368 0.952
Si 0.904 0.096 0.750



[7]
VASP calculation (PBE) on Ac3SiSe2 after structural relaxation.

The value obtained for the formation energy from raw total energies is -1515 meV per atom. The total magnetization is 0.0 μB per cell. The symmetry is Immm (71).

Lattice parameters (Å, degrees): 4.546 6.377 13.560 90.00 90.00 90.00
Fractional positions:
Ac 0.000 0.000 0.000
Ac 0.000 0.000 0.341
Ac 0.000 0.000 0.659
Ac 0.500 0.500 0.159
Ac 0.500 0.500 0.500
Ac 0.500 0.500 0.841
Si 0.000 0.500 0.000
Si 0.500 0.000 0.500
Se 0.000 0.500 0.332
Se 0.000 0.500 0.668
Se 0.500 0.000 0.168
Se 0.500 0.000 0.832



[8]
VASP calculation (PBE) on Cs2TlSi2S6 after structural relaxation.

The value obtained for the formation energy from raw total energies is -700 meV per atom. The total magnetization is 0.0 μB per cell. The symmetry is R-3m (166).

Lattice parameters (Å, degrees): 9.118 9.118 9.118 46.92 46.92 46.92
Fractional positions:
Cs 0.217 0.217 0.217
Cs 0.783 0.783 0.783
Tl 0.000 0.000 0.000
Si 0.414 0.414 0.414
Si 0.586 0.586 0.586
S 0.255 0.255 0.744
S 0.255 0.744 0.255
S 0.256 0.745 0.745
S 0.744 0.255 0.255
S 0.745 0.256 0.745
S 0.745 0.745 0.256



[9]
VASP calculation (PBE) on KYPu2Se4 after structural relaxation.

The value obtained for the formation energy from raw total energies is -1515 meV per atom. The total magnetization is 0.3 μB per cell. The symmetry is P2/m (10).

Lattice parameters (Å, degrees): 7.303 4.189 7.454 90.00 109.02 90.00
Fractional positions:
K 0.000 0.000 0.000
Y 0.000 0.500 0.500
Pu 0.500 0.000 0.500
Pu 0.500 0.500 0.000
Se 0.252 0.000 0.740
Se 0.263 0.500 0.272
Se 0.737 0.500 0.728
Se 0.748 0.000 0.260



[10]
VASP calculation (PBE) on Ni2Pd7Pt2 after structural relaxation.

The total magnetization is 4.5 μB per cell. As for the energy of formation from the pure elements: 0.089 eV per atom. The symmetry is Immm (71). For the polymorph energy (0 for the lowest one), the calculation gives 1.6 kJ per mole of atoms.

Lattice parameters (Å, degrees): 7.081 7.081 7.081 148.58 110.87 77.90
Fractional positions:
Ni 0.232 0.000 0.232
Ni 0.768 0.000 0.768
Pd 0.000 0.500 0.500
Pd 0.097 0.342 0.755
Pd 0.365 0.865 0.500
Pd 0.414 0.658 0.755
Pd 0.586 0.342 0.245
Pd 0.635 0.135 0.500
Pd 0.903 0.658 0.245
Pt 0.173 0.173 0.000
Pt 0.827 0.827 0.000



[11]
VASP calculation (PBE) on Pm2Br5 after structural relaxation.

The value obtained for the formation energy from raw total energies is -1676 meV per atom. The total magnetization is 1.4 μB per cell. The symmetry is C2/c (15).

Lattice parameters (Å, degrees): 8.492 8.492 8.033 96.30 96.30 46.44
Fractional positions:
Pm 0.112 0.682 0.917
Pm 0.318 0.888 0.583
Pm 0.682 0.112 0.417
Pm 0.888 0.318 0.083
Br 0.090 0.910 0.250
Br 0.145 0.295 0.834
Br 0.288 0.540 0.576
Br 0.295 0.145 0.334
Br 0.460 0.712 0.924
Br 0.540 0.288 0.076
Br 0.705 0.855 0.666
Br 0.712 0.460 0.424
Br 0.855 0.705 0.166
Br 0.910 0.090 0.750



[12]
VASP calculation (PBE) on POs2Cl after structural relaxation.

The value obtained for the formation energy from raw total energies is 789 meV per atom. The total magnetization is 0.0 μB per cell. The symmetry is Imm2 (44). For the polymorph energy (0 for the lowest one), the calculation gives 54.6 kJ per mole of atoms.

Lattice parameters (Å, degrees): 2.814 3.987 10.633 90.00 90.00 90.00
Fractional positions:
P 0.000 0.000 0.000
P 0.500 0.500 0.500
Os 0.000 0.000 0.573
Os 0.000 0.500 0.305
Os 0.500 0.000 0.805
Os 0.500 0.500 0.073
Cl 0.000 0.500 0.775
Cl 0.500 0.000 0.275